Compound: YSeBr2
Source: Alexandria
Functional: PBE
Structure: relaxed

Properties
V (Å³ per atom): 40.4
DOS at the Fermi energy (states/eV/atom): 0.85
Formation energy without anion corrections (eV/atom): -1.324
Crystal system: orthorhombic

Cell: 5.701 14.205 3.987 Å, 90.00 90.00 90.00°
Atoms (fractional coordinates):
Y: 0.000 0.000 0.000
Y: 0.500 0.500 0.000
Se: 0.000 0.500 0.000
Se: 0.500 0.000 0.000
Br: 0.000 0.140 0.500
Br: 0.000 0.860 0.500
Br: 0.500 0.360 0.500
Br: 0.500 0.640 0.500